The following is a DFT calculation (GGA-PBE) of crystalline ZrTi2Ni9 at its relaxed geometry.

a = 7.0007 Å, b = 7.0007 Å, c = 7.0007 Å
α = 43.45°, β = 43.45°, γ = 43.45°
Fractional coordinates of all 12 atoms:
Zr: 0.0000 0.0000 0.0000
Ti: 0.2199 0.2199 0.2199
Ti: 0.4373 0.4373 0.4373
Ni: 0.2249 0.7140 0.7140
Ni: 0.4601 0.9370 0.9370
Ni: 0.5027 0.5027 0.9844
Ni: 0.5027 0.9844 0.5027
Ni: 0.7140 0.2249 0.7140
Ni: 0.7140 0.7140 0.2249
Ni: 0.9370 0.4601 0.9370
Ni: 0.9370 0.9370 0.4601
Ni: 0.9844 0.5027 0.5027

Calculated values
E above lowest polymorph, meV per atom: 0
Density of states at the Fermi level, states/eV/f.u.: 3.125
Crystal system: trigonal
Energy relative to the elements, kJ/mol of formula units: -526